Model i:
This record from Alexandria describes a relaxed structure of Dy7HoTm12. The functional is PBE.

- Magnetization: 0.0 μB per cell
- DOS(E_F): 17.623 states/eV per cell

Structure (POSCAR):
```
Dy7HoTm12
1.0
8.459 0.737 1.107
-1.644 8.330 1.107
-1.644 -2.187 8.114
Dy Ho Tm
7 1 12
Direct
0.915 0.646 0.978
0.354 0.022 0.085
0.022 0.085 0.354
0.500 0.500 0.500
0.978 0.915 0.646
0.646 0.978 0.915
0.085 0.354 0.022
0.000 0.000 0.000
0.815 0.251 0.687
0.749 0.313 0.185
0.483 0.149 0.418
0.851 0.582 0.517
0.313 0.185 0.749
0.582 0.517 0.851
0.418 0.483 0.149
0.687 0.815 0.251
0.149 0.418 0.483
0.517 0.851 0.582
0.251 0.687 0.815
0.185 0.749 0.313
```

***

Model ii:
This record from Alexandria describes a relaxed structure of Dy7HoTm12. The functional is PBE.

- Magnetization: 0.0 μB per cell
- DOS(E_F): 23.573 states/eV per cell

Structure (POSCAR):
```
Dy7HoTm12
1.0
-4.345 0.754 -8.535
8.714 -3.872 -1.173
-5.243 -5.605 5.779
Dy Ho Tm
7 1 12
Direct
0.500 0.500 0.000
0.000 0.500 0.500
0.500 0.000 0.500
0.500 0.500 0.500
0.000 0.000 0.500
0.500 0.000 0.000
0.000 0.500 0.000
0.000 0.000 0.000
0.501 0.751 0.750
0.001 0.751 0.250
0.499 0.249 0.250
0.999 0.249 0.750
0.750 0.999 0.249
0.750 0.501 0.751
0.250 0.001 0.751
0.250 0.499 0.249
0.751 0.750 0.501
0.249 0.250 0.499
0.751 0.250 0.001
0.249 0.750 0.999
```

***

Structures ranked by computed energy, the most stable listed first: model i, model ii.

***

Model i:
This record from Alexandria describes a relaxed structure of DyHo2Tm2. The functional is PBE.

- Magnetization: 0.0 μB per cell
- DOS(E_F): 8.428 states/eV per cell

Structure (POSCAR):
```
DyHo2Tm2
1.0
-6.752 -3.153 -5.464
-2.528 -5.980 6.575
-2.272 2.477 1.379
Dy Ho Tm
2 4 4
Direct
0.000 0.000 0.000
0.500 0.500 0.000
0.327 0.827 0.500
0.827 0.673 0.500
0.673 0.173 0.500
0.173 0.327 0.500
0.125 0.625 0.000
0.625 0.875 0.000
0.875 0.375 0.000
0.375 0.125 0.000
```

***

Model ii:
This record from Alexandria describes a relaxed structure of DyHo2Tm2. The functional is PBE.

- Magnetization: 0.0 μB per cell
- DOS(E_F): 14.066 states/eV per cell

Structure (POSCAR):
```
DyHo2Tm2
1.0
-2.681 -1.571 3.864
5.609 -2.306 -0.228
3.749 8.505 6.040
Dy Ho Tm
2 4 4
Direct
0.750 0.500 0.250
0.250 0.500 0.750
0.350 0.701 0.450
0.450 0.900 0.150
0.650 0.299 0.550
0.550 0.100 0.850
0.950 0.899 0.650
0.150 0.300 0.050
0.050 0.101 0.350
0.850 0.700 0.950
```

***

Structures ranked by computed energy, the most stable listed first: model ii, model i.

***

Model i:
This record from Alexandria describes a relaxed structure of Dy2HoTm8. The functional is PBE.

- Magnetization: 0.0 μB per cell
- DOS(E_F): 14.946 states/eV per cell

Structure (POSCAR):
```
Dy2HoTm8
1.0
5.655 0.606 -1.187
-1.755 6.198 -3.199
-0.885 0.565 9.295
Tm Ho Dy
8 1 2
Direct
0.145 0.347 0.250
0.895 0.098 0.750
0.736 0.452 0.000
0.703 0.203 0.405
0.297 0.797 0.595
0.264 0.548 0.000
0.105 0.902 0.250
0.855 0.653 0.750
0.500 0.000 0.000
0.690 0.690 0.380
0.310 0.310 0.620
```

***

Model ii:
This record from Alexandria describes a relaxed structure of Dy2HoTm8. The functional is PBE.

- Magnetization: 0.0 μB per cell
- DOS(E_F): 14.251 states/eV per cell

Structure (POSCAR):
```
Dy2HoTm8
1.0
-3.323 1.646 3.252
-4.996 -5.561 -2.289
6.355 -4.475 5.017
Dy Ho Tm
2 1 8
Direct
0.773 0.363 0.545
0.227 0.637 0.455
0.500 0.000 0.000
0.409 0.545 0.819
0.682 0.909 0.363
0.864 0.819 0.728
0.955 0.273 0.910
0.136 0.181 0.272
0.318 0.091 0.637
0.591 0.455 0.181
0.045 0.727 0.090
```

***

Structures ranked by computed energy, the most stable listed first: model ii, model i.

***

Model i:
This record from Alexandria describes a relaxed structure of Dy7HoTm2. The functional is PBE.

- Magnetization: 0.0 μB per cell
- DOS(E_F): 13.306 states/eV per cell

Structure (POSCAR):
```
Dy7HoTm2
1.0
-2.199 -1.508 4.598
2.429 -8.889 -1.753
5.319 6.220 4.583
Dy Ho Tm
7 1 2
Direct
0.000 0.798 0.202
0.000 0.202 0.798
0.500 0.067 0.289
0.500 0.933 0.711
0.500 0.289 0.067
0.500 0.711 0.933
0.500 0.500 0.500
0.000 0.000 0.000
0.500 0.702 0.298
0.500 0.298 0.702
```

***

Model ii:
This record from Alexandria describes a relaxed structure of Dy7HoTm2. The functional is PBE.

- Magnetization: 0.0 μB per cell
- DOS(E_F): 12.237 states/eV per cell

Structure (POSCAR):
```
Dy7HoTm2
1.0
5.427 2.150 -1.732
4.177 7.776 -5.783
-2.737 -1.754 10.636
Dy Ho Tm
7 1 2
Direct
0.900 0.900 0.600
0.100 0.100 0.400
0.700 0.700 0.800
0.300 0.300 0.200
0.800 0.800 0.200
0.200 0.200 0.800
0.500 0.500 0.000
0.000 0.000 0.000
0.601 0.600 0.400
0.399 0.400 0.600
```

***

Structures ranked by computed energy, the most stable listed first: model ii, model i.